[1]
# Al3AgAu6 | Alexandria via LeMat-Bulk | PBE | optimized geometry
data_Al3AgAu6
_cell_length_a 8.757
_cell_length_b 4.317
_cell_length_c 9.790
_cell_angle_alpha 90.00
_cell_angle_beta 104.76
_cell_angle_gamma 90.00
_space_group_name_H-M_alt 'P 1 21/m 1'
_space_group_IT_number 11
loop_
_space_group_symop_operation_xyz
'x,y,z'
'-x,-y,-z'
'-x,y+1/2,-z'
'x,-y+1/2,z'
loop_
_atom_site_label
_atom_site_type_symbol
_atom_site_fract_x
_atom_site_fract_y
_atom_site_fract_z
Al1 Al 0.032 0.250 0.404
Al2 Al 0.109 0.750 0.217
Al3 Al 0.368 0.250 0.936
Ag1 Ag 0.477 0.250 0.604
Au1 Au 0.107 0.250 0.016
Au2 Au 0.147 0.250 0.694
Au3 Au 0.235 0.750 0.508
Au4 Au 0.282 0.250 0.310
Au5 Au 0.339 0.750 0.087
Au6 Au 0.416 0.750 0.798
# Energy of formation from the pure elements = -24.9 kJ/mol of atoms
# Crystal system = monoclinic
# Energy above the most stable polymorph in this dataset = 0 meV per atom



[2]
# TlSnGeB2 | Alexandria via LeMat-Bulk | PBE | optimized geometry
data_TlSnGeB2
_cell_length_a 4.459
_cell_length_b 4.459
_cell_length_c 6.060
_cell_angle_alpha 90.00
_cell_angle_beta 90.00
_cell_angle_gamma 90.00
_space_group_name_H-M_alt 'P 4/m m m'
_space_group_IT_number 123
_space_group_name_Hall '-P 4 2'
loop_
_atom_site_label
_atom_site_type_symbol
_atom_site_fract_x
_atom_site_fract_y
_atom_site_fract_z
Tl1 Tl 0.000 0.000 0.000
Sn1 Sn 0.000 0.000 0.500
Ge1 Ge 0.500 0.500 0.000
B1 B 0.000 0.500 0.500
# Energy of formation from the pure elements = 162.2 kJ/mol of atoms
# Crystal system = tetragonal



[3]
# KC2 | Alexandria via LeMat-Bulk | PBE | optimized geometry
data_KC2
_cell_length_a 5.003
_cell_length_b 5.003
_cell_length_c 6.130
_cell_angle_alpha 90.00
_cell_angle_beta 90.00
_cell_angle_gamma 90.00
_space_group_name_H-M_alt 'P 42/m n m'
_space_group_IT_number 136
_space_group_name_Hall '-P 4n 2n'
loop_
_atom_site_label
_atom_site_type_symbol
_atom_site_fract_x
_atom_site_fract_y
_atom_site_fract_z
K1 K 0.000 0.000 0.000
C1 C 0.089 0.089 0.500
# Energy of formation from the pure elements = 125.5 kJ/mol of atoms
# Crystal system = tetragonal
# Energy above the most stable polymorph in this dataset = 797 meV per atom



[4]
# Ca2ZrCoTc | Alexandria via LeMat-Bulk | PBE | optimized geometry
data_Ca2ZrCoTc
_cell_length_a 5.179
_cell_length_b 5.179
_cell_length_c 4.760
_cell_angle_alpha 90.00
_cell_angle_beta 90.00
_cell_angle_gamma 90.00
_space_group_name_H-M_alt 'P 4/m m m'
_space_group_IT_number 123
_space_group_name_Hall '-P 4 2'
loop_
_atom_site_label
_atom_site_type_symbol
_atom_site_fract_x
_atom_site_fract_y
_atom_site_fract_z
Ca1 Ca 0.000 0.500 0.000
Zr1 Zr 0.000 0.000 0.500
Co1 Co 0.000 0.000 0.000
Tc1 Tc 0.500 0.500 0.500
# Energy of formation from the pure elements = 80.0 kJ/mol of atoms
# Crystal system = tetragonal



[5]
# YHgBr2 | Alexandria via LeMat-Bulk | PBE | optimized geometry
data_YHgBr2
_cell_length_a 11.926
_cell_length_b 3.844
_cell_length_c 7.492
_cell_angle_alpha 90.00
_cell_angle_beta 115.42
_cell_angle_gamma 90.00
_space_group_name_H-M_alt 'C 1 m 1'
_space_group_IT_number 8
loop_
_space_group_symop_operation_xyz
'x,y,z'
'x,-y,z'
'x+1/2,y+1/2,z'
'x+1/2,-y+1/2,z'
loop_
_atom_site_label
_atom_site_type_symbol
_atom_site_fract_x
_atom_site_fract_y
_atom_site_fract_z
Y1 Y 0.000 0.000 0.000
Hg1 Hg 0.268 0.000 0.000
Br1 Br 0.113 0.500 0.299
Br2 Br 0.453 0.000 0.701
# Energy relative to the elements, uncorrected = -1124.5 meV per atom
# Crystal system = monoclinic
# Energy above the most stable polymorph in this dataset = 58 meV per atom



[6]
# CsAuBr6 | Alexandria via LeMat-Bulk | PBE | optimized geometry
data_CsAuBr6
_cell_length_a 10.6711
_cell_length_b 10.6711
_cell_length_c 8.9592
_cell_angle_alpha 90.00
_cell_angle_beta 90.00
_cell_angle_gamma 120.00
_space_group_name_H-M_alt 'R -3 m'
_space_group_IT_number 166
_space_group_name_Hall '-R 3 2"'
loop_
_atom_site_label
_atom_site_type_symbol
_atom_site_fract_x
_atom_site_fract_y
_atom_site_fract_z
Cs1 Cs 0.0000 0.0000 0.0000
Au1 Au 0.0000 0.0000 0.5000
Br1 Br 0.1074 0.5537 0.3303
# Energy relative to the elements, uncorrected = -394.0 meV per atom
# Crystal system = trigonal



[7]
# NaPtW | Alexandria via LeMat-Bulk | PBE | optimized geometry
data_NaPtW
_cell_length_a 2.730
_cell_length_b 6.300
_cell_length_c 6.578
_cell_angle_alpha 79.75
_cell_angle_beta 82.44
_cell_angle_gamma 82.06
_space_group_name_H-M_alt 'P -1'
_space_group_IT_number 2
loop_
_space_group_symop_operation_xyz
'x,y,z'
'-x,-y,-z'
loop_
_atom_site_label
_atom_site_type_symbol
_atom_site_fract_x
_atom_site_fract_y
_atom_site_fract_z
Na1 Na 0.123 0.354 0.174
Pt1 Pt 0.500 0.000 0.000
Pt2 Pt 0.500 0.500 0.500
W1 W 0.099 0.119 0.630
# Energy of formation from the pure elements = 10.4 kJ/mol of atoms
# Crystal system = triclinic
# Energy above the most stable polymorph in this dataset = 187 meV per atom



[8]
# LiLu2Cd | Alexandria via LeMat-Bulk | PBE | optimized geometry
data_LiLu2Cd
_cell_length_a 7.294
_cell_length_b 7.294
_cell_length_c 7.294
_cell_angle_alpha 90.00
_cell_angle_beta 90.00
_cell_angle_gamma 90.00
_space_group_name_H-M_alt 'F m -3 m'
_space_group_IT_number 225
_space_group_name_Hall '-F 4 2 3'
loop_
_atom_site_label
_atom_site_type_symbol
_atom_site_fract_x
_atom_site_fract_y
_atom_site_fract_z
Li1 Li 0.000 0.000 0.000
Lu1 Lu 0.250 0.250 0.250
Cd1 Cd 0.000 0.000 0.500
# Energy of formation from the pure elements = -10.2 kJ/mol of atoms
# Crystal system = cubic
# Energy above the most stable polymorph in this dataset = 0 meV per atom



[9]
# Ho4GaIr3 | Alexandria via LeMat-Bulk | PBE | optimized geometry
data_Ho4GaIr3
_cell_length_a 3.824
_cell_length_b 4.321
_cell_length_c 10.549
_cell_angle_alpha 90.00
_cell_angle_beta 90.00
_cell_angle_gamma 90.00
_space_group_name_H-M_alt 'P m m 2'
_space_group_IT_number 25
loop_
_space_group_symop_operation_xyz
'x,y,z'
'-x,-y,z'
'-x,y,z'
'x,-y,z'
loop_
_atom_site_label
_atom_site_type_symbol
_atom_site_fract_x
_atom_site_fract_y
_atom_site_fract_z
Ho1 Ho 0.000 0.000 0.000
Ho2 Ho 0.000 0.500 0.273
Ho3 Ho 0.500 0.000 0.480
Ho4 Ho 0.500 0.500 0.778
Ga1 Ga 0.000 0.000 0.701
Ir1 Ir 0.000 0.500 0.565
Ir2 Ir 0.500 0.000 0.214
Ir3 Ir 0.500 0.500 0.047
# Energy of formation from the pure elements = -76.4 kJ/mol of atoms
# Crystal system = orthorhombic



[10]
# TcNiTe2 | Alexandria via LeMat-Bulk | PBE | optimized geometry
data_TcNiTe2
_cell_length_a 3.622
_cell_length_b 5.026
_cell_length_c 4.668
_cell_angle_alpha 90.00
_cell_angle_beta 104.38
_cell_angle_gamma 90.00
_space_group_name_H-M_alt 'P 1 m 1'
_space_group_IT_number 6
loop_
_space_group_symop_operation_xyz
'x,y,z'
'x,-y,z'
loop_
_atom_site_label
_atom_site_type_symbol
_atom_site_fract_x
_atom_site_fract_y
_atom_site_fract_z
Tc1 Tc 0.000 0.000 0.000
Ni1 Ni 0.779 0.500 0.246
Te1 Te 0.125 0.500 0.838
Te2 Te 0.638 0.000 0.407
# Energy relative to the elements, uncorrected = 194.9 meV per atom
# Crystal system = monoclinic
# Energy above the most stable polymorph in this dataset = 182 meV per atom



[11]
# VTcGePd | Alexandria via LeMat-Bulk | PBE | optimized geometry
data_VTcGePd
_cell_length_a 6.137
_cell_length_b 6.137
_cell_length_c 6.137
_cell_angle_alpha 90.00
_cell_angle_beta 90.00
_cell_angle_gamma 90.00
_space_group_name_H-M_alt 'F -4 3 m'
_space_group_IT_number 216
_space_group_name_Hall 'F -4 2 3'
loop_
_atom_site_label
_atom_site_type_symbol
_atom_site_fract_x
_atom_site_fract_y
_atom_site_fract_z
V1 V 0.000 0.000 0.000
Tc1 Tc 0.250 0.250 0.250
Ge1 Ge 0.000 0.000 0.500
Pd1 Pd 0.250 0.250 0.750
# Energy of formation from the pure elements = -15.0 kJ/mol of atoms
# Crystal system = cubic



[12]
# Tb2Dy8Er3 | Alexandria via LeMat-Bulk | PBE | optimized geometry
data_Tb2Dy8Er3
_cell_length_a 7.558
_cell_length_b 20.216
_cell_length_c 5.555
_cell_angle_alpha 90.00
_cell_angle_beta 90.00
_cell_angle_gamma 90.00
_space_group_name_H-M_alt 'C m m m'
_space_group_IT_number 65
_space_group_name_Hall '-C 2 2'
loop_
_atom_site_label
_atom_site_type_symbol
_atom_site_fract_x
_atom_site_fract_y
_atom_site_fract_z
Tb1 Tb 0.000 0.241 0.000
Dy1 Dy 0.000 0.132 0.500
Dy2 Dy 0.000 0.334 0.500
Dy3 Dy 0.211 0.393 0.000
Er1 Er 0.000 0.000 0.000
Er2 Er 0.216 0.500 0.500
# Energy of formation from the pure elements = 22.6 kJ/mol of atoms
# Crystal system = orthorhombic



[13]
# TcTeP2 | Alexandria via LeMat-Bulk | PBE | optimized geometry
data_TcTeP2
_cell_length_a 3.199
_cell_length_b 4.368
_cell_length_c 4.846
_cell_angle_alpha 90.00
_cell_angle_beta 90.00
_cell_angle_gamma 90.00
_space_group_name_H-M_alt 'P m m m'
_space_group_IT_number 47
loop_
_space_group_symop_operation_xyz
'x,y,z'
'-x,-y,-z'
'-x,-y,z'
'x,y,-z'
'x,-y,-z'
'-x,y,z'
'-x,y,-z'
'x,-y,z'
loop_
_atom_site_label
_atom_site_type_symbol
_atom_site_fract_x
_atom_site_fract_y
_atom_site_fract_z
Tc1 Tc 0.000 0.000 0.000
Te1 Te 0.500 0.000 0.500
P1 P 0.000 0.500 0.500
P2 P 0.500 0.500 0.000
# Energy relative to the elements, uncorrected = 737.5 meV per atom
# Crystal system = orthorhombic



[14]
# La12YAl3 | Alexandria via LeMat-Bulk | PBE | optimized geometry
data_La12YAl3
_cell_length_a 5.018
_cell_length_b 5.018
_cell_length_c 20.328
_cell_angle_alpha 90.00
_cell_angle_beta 90.00
_cell_angle_gamma 90.00
_space_group_name_H-M_alt 'P 4/m m m'
_space_group_IT_number 123
_space_group_name_Hall '-P 4 2'
loop_
_atom_site_label
_atom_site_type_symbol
_atom_site_fract_x
_atom_site_fract_y
_atom_site_fract_z
La1 La 0.000 0.000 0.000
La2 La 0.000 0.000 0.242
La3 La 0.000 0.000 0.500
La4 La 0.000 0.500 0.122
La5 La 0.000 0.500 0.365
Y1 Y 0.500 0.500 0.500
Al1 Al 0.500 0.500 0.000
Al2 Al 0.500 0.500 0.243
# Energy of formation from the pure elements = -12.0 kJ/mol of atoms
# Crystal system = tetragonal



[15]
# LiTa2W | Alexandria via LeMat-Bulk | PBE | optimized geometry
data_LiTa2W
_cell_length_a 2.715
_cell_length_b 4.668
_cell_length_c 5.361
_cell_angle_alpha 90.00
_cell_angle_beta 98.39
_cell_angle_gamma 90.00
_space_group_name_H-M_alt 'P 1 m 1'
_space_group_IT_number 6
loop_
_space_group_symop_operation_xyz
'x,y,z'
'x,-y,z'
loop_
_atom_site_label
_atom_site_type_symbol
_atom_site_fract_x
_atom_site_fract_y
_atom_site_fract_z
Li1 Li 0.000 0.000 0.000
Ta1 Ta 0.463 0.000 0.511
Ta2 Ta 0.753 0.500 0.248
W1 W 0.202 0.500 0.743
# Energy of formation from the pure elements = 29.4 kJ/mol of atoms
# Crystal system = monoclinic
# Energy above the most stable polymorph in this dataset = 112 meV per atom



[16]
# OsRu2Pb | Alexandria via LeMat-Bulk | PBE | optimized geometry
data_OsRu2Pb
_cell_length_a 2.922
_cell_length_b 4.492
_cell_length_c 4.987
_cell_angle_alpha 90.00
_cell_angle_beta 90.13
_cell_angle_gamma 90.00
_space_group_name_H-M_alt 'P 1 m 1'
_space_group_IT_number 6
loop_
_space_group_symop_operation_xyz
'x,y,z'
'x,-y,z'
loop_
_atom_site_label
_atom_site_type_symbol
_atom_site_fract_x
_atom_site_fract_y
_atom_site_fract_z
Os1 Os 0.000 0.000 0.000
Ru1 Ru 0.501 0.500 0.128
Ru2 Ru 0.503 0.000 0.442
Pb1 Pb 0.003 0.500 0.632
# Energy of formation from the pure elements = 61.2 kJ/mol of atoms
# Crystal system = monoclinic



[17]
# CsNaI2O | Alexandria via LeMat-Bulk | PBE | optimized geometry
data_CsNaI2O
_cell_length_a 7.213
_cell_length_b 7.213
_cell_length_c 4.432
_cell_angle_alpha 90.00
_cell_angle_beta 90.00
_cell_angle_gamma 90.00
_space_group_name_H-M_alt 'P 4/m m m'
_space_group_IT_number 123
_space_group_name_Hall '-P 4 2'
loop_
_atom_site_label
_atom_site_type_symbol
_atom_site_fract_x
_atom_site_fract_y
_atom_site_fract_z
Cs1 Cs 0.000 0.000 0.000
Na1 Na 0.500 0.500 0.500
I1 I 0.000 0.500 0.000
O1 O 0.000 0.000 0.500
# Energy relative to the elements, uncorrected = -302.1 meV per atom
# Crystal system = tetragonal
# Energy above the most stable polymorph in this dataset = 368 meV per atom